[1]
VASP calculation (PBE-GGA) on an optimized crystal structure of KNaAg.

Excess energy over the best structure of this formula in the dataset   43 meV per atom
ΔH_f (0 K)   0.056 eV per atom
VASP energy   -5.10 eV for the cell shown
DOS(E_F)   0.408 states/eV/atom
Volume   104 Å³ per cell

Cell: 4.0461 4.0461 6.9775 Å, 106.85 106.85 90.00°
Fractional positions:
Na: 0.9067 0.9067 0.8135
K: 0.6326 0.6326 0.2652
Ag: 0.3107 0.3107 0.6213

---

[2]
VASP calculation (PBE-GGA) on an optimized crystal structure of K14NaAg.

ΔH_f (0 K)   0.025 eV per atom
VASP energy   -19.14 eV for the cell shown
DOS(E_F)   0.660 states/eV/atom
Volume   1041 Å³ per cell

Cell: 9.1074 9.1074 12.9684 Å, 90.00 90.00 104.65°
Fractional positions:
K: 0.1037 0.8963 0.0000
K: 0.5715 0.4285 0.0000
K: 0.1577 0.4035 0.5000
K: 0.0476 0.3739 0.0000
K: 0.5965 0.8423 0.5000
K: 0.6261 0.9524 0.0000
K: 0.4392 0.1749 0.6898
K: 0.4392 0.1749 0.3102
K: 0.8251 0.5608 0.6898
K: 0.8251 0.5608 0.3102
K: 0.3323 0.6677 0.7688
K: 0.3323 0.6677 0.2312
K: 0.9120 0.0880 0.7142
K: 0.9120 0.0880 0.2858
Na: 0.1294 0.8706 0.5000
Ag: 0.7504 0.2496 0.5000

---

[3]
VASP calculation (PBE-GGA) on an optimized crystal structure of KNaAg.

Excess energy over the best structure of this formula in the dataset   1 meV per atom
ΔH_f (0 K)   0.013 eV per atom
VASP energy   -10.45 eV for the cell shown
DOS(E_F)   0.423 states/eV/atom
Volume   229 Å³ per cell

Cell: 4.9357 6.5153 7.6842 Å, 101.65 108.73 90.00°
Fractional positions:
Ag: 0.7751 0.1103 0.5501
Ag: 0.2249 0.8897 0.4499
Na: 0.5912 0.7916 0.1824
Na: 0.4088 0.2084 0.8176
K: 0.8630 0.6734 0.7261
K: 0.1370 0.3266 0.2739

---

[4]
VASP calculation (PBE-GGA) on an optimized crystal structure of K3NaAg.

Excess energy over the best structure of this formula in the dataset   59 meV per atom
ΔH_f (0 K)   0.082 eV per atom
VASP energy   -7.05 eV for the cell shown
DOS(E_F)   0.946 states/eV/atom
Volume   288 Å³ per cell

Cell: 6.6043 6.6043 6.6043 Å, 90.00 90.00 90.00°
Fractional positions:
Na: 0.5000 0.5000 0.5000
K: 0.0000 0.5000 0.0000
K: 0.0000 0.0000 0.5000
K: 0.5000 0.0000 0.0000
Ag: 0.0000 0.0000 0.0000

---

[5]
VASP calculation (PBE-GGA) on an optimized crystal structure of KNa7Ag5.

ΔH_f (0 K)   -0.024 eV per atom
VASP energy   -24.90 eV for the cell shown
DOS(E_F)   0.291 states/eV/atom
Volume   343 Å³ per cell

Cell: 5.8944 8.1740 8.1740 Å, 81.39 68.87 68.87°
Fractional positions:
K: 0.0260 0.9740 0.9740
Na: 0.6685 0.3315 0.3315
Na: 0.3433 0.6567 0.6567
Na: 0.9885 0.3554 0.6677
Na: 0.9885 0.6677 0.3554
Na: 0.2696 0.2304 0.2304
Na: 0.5015 0.7936 0.2033
Na: 0.5015 0.2033 0.7936
Ag: 0.4959 0.9945 0.5140
Ag: 0.9956 0.9945 0.5140
Ag: 0.4959 0.5140 0.9945
Ag: 0.9956 0.5140 0.9945
Ag: 0.7295 0.7705 0.7705

---

[6]
VASP calculation (PBE-GGA) on an optimized crystal structure of KNa9Ag2.

ΔH_f (0 K)   0.015 eV per atom
VASP energy   -36.97 eV for the cell shown
DOS(E_F)   0.430 states/eV/atom
Volume   815 Å³ per cell

Cell: 8.9141 10.5489 10.5489 Å, 79.72 65.01 65.01°
Fractional positions:
K: 0.5000 0.0000 0.0000
K: 0.2500 0.5000 0.5000
Na: 0.7500 0.5000 0.5000
Na: 0.0000 0.0000 0.0000
Na: 0.0153 0.9261 0.6816
Na: 0.6230 0.0739 0.3184
Na: 0.6914 0.1816 0.5739
Na: 0.4469 0.8184 0.4261
Na: 0.7347 0.8184 0.5739
Na: 0.1270 0.1816 0.4261
Na: 0.0586 0.9261 0.3184
Na: 0.3031 0.0739 0.6816
Na: 0.7347 0.5739 0.8184
Na: 0.1270 0.4261 0.1816
Na: 0.0586 0.3184 0.9261
Na: 0.3031 0.6816 0.0739
Na: 0.0153 0.6816 0.9261
Na: 0.6230 0.3184 0.0739
Na: 0.6914 0.5739 0.1816
Na: 0.4469 0.4261 0.8184
Ag: 0.8750 0.2500 0.7500
Ag: 0.8750 0.7500 0.2500
Ag: 0.8750 0.2500 0.2500
Ag: 0.3750 0.7500 0.7500

---

[7]
VASP calculation (PBE-GGA) on an optimized crystal structure of KNa2Ag.

Excess energy over the best structure of this formula in the dataset   148 meV per atom
ΔH_f (0 K)   0.148 eV per atom
VASP energy   -5.99 eV for the cell shown
DOS(E_F)   0.535 states/eV/atom
Volume   168 Å³ per cell

Cell: 4.1167 4.1167 11.6765 Å, 79.85 79.85 60.00°
Fractional positions:
Na: 0.1125 0.1125 0.6626
Na: 0.8875 0.8875 0.3374
K: 0.0000 0.0000 0.0000
Ag: 0.5000 0.5000 0.5000

---

[8]
VASP calculation (PBE-GGA) on an optimized crystal structure of KNaAg3.

Excess energy over the best structure of this formula in the dataset   0 meV per atom
ΔH_f (0 K)   0.034 eV per atom
VASP energy   -43.19 eV for the cell shown
DOS(E_F)   0.271 states/eV/atom
Volume   504 Å³ per cell

Cell: 5.7212 7.8696 11.2013 Å, 90.00 90.00 90.00°
Fractional positions:
K: 0.4999 0.2500 0.5044
K: 0.0001 0.7500 0.0044
K: 0.5001 0.7500 0.4956
K: 0.9999 0.2500 0.9956
Na: 0.0000 0.0000 0.5000
Na: 0.5000 0.5000 0.0000
Na: 0.5000 0.0000 0.0000
Na: 0.0000 0.5000 0.5000
Ag: 0.2482 0.9334 0.7500
Ag: 0.2518 0.4334 0.2500
Ag: 0.2518 0.0666 0.2500
Ag: 0.7518 0.4334 0.2500
Ag: 0.7518 0.0666 0.2500
Ag: 0.7482 0.5666 0.7500
Ag: 0.7482 0.9334 0.7500
Ag: 0.2482 0.5666 0.7500
Ag: 0.4978 0.2500 0.7892
Ag: 0.0022 0.7500 0.2892
Ag: 0.5022 0.7500 0.2108
Ag: 0.9978 0.2500 0.7108